A relaxed ZnCrSb2 crystal, computed with GGA-PBE.

a = 5.210 Å, b = 5.210 Å, c = 5.210 Å
α = 130.96°, β = 124.79°, γ = 76.94°
Last column: magnetic moment on the atom in μB.
Fractional coordinates of all 4 atoms:
Zn 0.250 0.750 0.500  -0.01
Cr 0.750 0.250 0.500  3.49
Sb 0.497 0.497 0.000  -0.07
Sb 0.003 0.003 0.000  -0.07

Output
* space group: Immm, No. 71
* electronic total energy: -17.94 eV per cell
* D(E_F): 2.0 states/eV/cell


A relaxed Rb3ZrSc3S8 crystal, computed with GGA-PBE.

a = 7.600 Å, b = 7.599 Å, c = 8.930 Å
α = 115.18°, β = 90.00°, γ = 120.00°
Fractional coordinates of all 15 atoms:
Sc 0.500 0.500 0.500
Sc 0.000 0.500 0.500
Sc 0.500 0.000 0.500
S 0.727 0.454 0.681
S 0.271 0.044 0.318
S 0.227 0.453 0.682
S 0.773 0.547 0.318
S 0.773 0.044 0.318
S 0.273 0.546 0.319
S 0.227 0.956 0.682
S 0.729 0.956 0.682
Rb 0.000 0.000 0.000
Rb 0.000 0.500 0.000
Rb 0.500 0.500 0.000
Zr 0.000 0.000 0.500

Output
* space group: R-3m, No. 166
* electronic total energy: -89.19 eV per cell


A relaxed LaZnPCl crystal, computed with GGA-PBE.

a = 4.183 Å, b = 4.183 Å, c = 13.546 Å
α = 81.12°, β = 81.12°, γ = 60.00°
Fractional coordinates of all 8 atoms:
La 0.918 0.918 0.247
La 0.082 0.082 0.753
P 0.371 0.371 0.888
P 0.629 0.629 0.112
Zn 0.691 0.691 0.927
Zn 0.309 0.309 0.073
Cl 0.209 0.209 0.373
Cl 0.791 0.791 0.627

Output
* space group: R-3m, No. 166
* electronic total energy: -36.89 eV per cell
* D(E_F): 5.0 states/eV/cell


| no. | uncorrected formation energy (eV per formula unit) |
| --- | --- |
| 1 | 1.20 |
| 2 | -25.72 |
| 3 | -4.99 |